1.
Entry from Alexandria: crystalline AcPuCuHg at its relaxed geometry (GGA-PBE).

Lattice parameters (Å, degrees): 5.396 5.396 5.396 60.00 60.00 60.00
Element x y z (fractional)
1 Ac 0.000 0.000 0.000
2 Pu 0.500 0.500 0.500
3 Cu 0.750 0.750 0.750
4 Hg 0.250 0.250 0.250

- V: 111 Å³/cell
- Energy relative to the elements: -41 meV per atom
- Symmetry: F-43m (216)
- Density: 10.99 Mg/m³
- Total magnetic moment: 6.0 μB/f.u.


2.
Entry from Alexandria: crystalline Ac2CuHgRh at its relaxed geometry (GGA-PBE).

Lattice parameters (Å, degrees): 7.769 4.464 8.213 90.00 104.72 90.00
Element x y z (fractional)
1 Ac 0.150 0.250 0.349
2 Ac 0.273 0.250 0.931
3 Ac 0.727 0.750 0.069
4 Ac 0.850 0.750 0.651
5 Cu 0.426 0.750 0.285
6 Cu 0.574 0.250 0.715
7 Hg 0.369 0.750 0.644
8 Hg 0.631 0.250 0.356
9 Rh 0.118 0.750 0.087
10 Rh 0.882 0.250 0.913

- V: 276 Å³/cell
- Energy relative to the elements: -437 meV per atom
- Symmetry: P2_1/m (11)
- Density: 9.90 Mg/m³
- Total magnetic moment: 0.0 μB/f.u.


3.
Entry from Alexandria: crystalline AcCuHgSb at its relaxed geometry (GGA-PBE).

Lattice parameters (Å, degrees): 5.277 5.277 5.277 60.00 60.00 60.00
Element x y z (fractional)
1 Ac 0.000 0.000 0.000
2 Cu 0.250 0.250 0.250
3 Hg 0.750 0.750 0.750
4 Sb 0.500 0.500 0.500

- V: 104 Å³/cell
- Raw formation energy: -0.28 eV/atom
- Symmetry: F-43m (216)
- Density: 9.79 Mg/m³
- Total magnetic moment: 0.0 μB/f.u.


4.
Entry from Alexandria: crystalline AcScCuHg at its relaxed geometry (GGA-PBE).

Lattice parameters (Å, degrees): 5.258 5.258 5.258 60.00 60.00 60.00
Element x y z (fractional)
1 Ac 0.000 0.000 0.000
2 Sc 0.500 0.500 0.500
3 Cu 0.250 0.250 0.250
4 Hg 0.750 0.750 0.750

- V: 103 Å³/cell
- Energy relative to the elements: -162 meV per atom
- Symmetry: F-43m (216)
- Density: 8.66 Mg/m³
- Total magnetic moment: 0.0 μB/f.u.


5.
Entry from Alexandria: crystalline AcSmCuHg at its relaxed geometry (GGA-PBE).

Lattice parameters (Å, degrees): 5.411 5.411 5.411 60.00 60.00 60.00
Element x y z (fractional)
1 Ac 0.000 0.000 0.000
2 Sm 0.500 0.500 0.500
3 Cu 0.750 0.750 0.750
4 Hg 0.250 0.250 0.250

- V: 112 Å³/cell
- Energy relative to the elements: -245 meV per atom
- Symmetry: F-43m (216)
- Density: 9.51 Mg/m³
- Total magnetic moment: 0.0 μB/f.u.


6.
Entry from Alexandria: crystalline Ac2Cu3Sn4Hg at its relaxed geometry (GGA-PBE).

Lattice parameters (Å, degrees): 4.680 4.680 11.057 90.00 90.00 90.00
Element x y z (fractional)
1 Ac 0.000 0.500 0.250
2 Ac 0.500 0.000 0.750
3 Cu 0.000 0.000 0.000
4 Cu 0.000 0.500 0.624
5 Cu 0.500 0.000 0.376
6 Sn 0.000 0.000 0.500
7 Sn 0.000 0.500 0.858
8 Sn 0.500 0.000 0.142
9 Sn 0.500 0.500 0.500
10 Hg 0.500 0.500 0.000

- V: 242 Å³/cell
- Energy relative to the elements: -411 meV per atom
- Symmetry: P-4m2 (115)
- Density: 9.05 Mg/m³
- Total magnetic moment: 0.0 μB/f.u.


7.
Entry from Alexandria: crystalline AcThCuHg at its relaxed geometry (GGA-PBE).

Lattice parameters (Å, degrees): 5.408 5.408 5.408 60.00 60.00 60.00
Element x y z (fractional)
1 Ac 0.000 0.000 0.000
2 Th 0.500 0.500 0.500
3 Cu 0.250 0.250 0.250
4 Hg 0.750 0.750 0.750

- V: 112 Å³/cell
- Energy relative to the elements: -97 meV per atom
- Symmetry: F-43m (216)
- Density: 10.73 Mg/m³
- Total magnetic moment: 0.0 μB/f.u.


8.
Entry from Alexandria: crystalline AcTmCuHg at its relaxed geometry (GGA-PBE).

Lattice parameters (Å, degrees): 5.335 5.335 5.335 60.00 60.00 60.00
Element x y z (fractional)
1 Ac 0.000 0.000 0.000
2 Tm 0.500 0.500 0.500
3 Cu 0.250 0.250 0.250
4 Hg 0.750 0.750 0.750

- V: 107 Å³/cell
- Energy relative to the elements: -237 meV per atom
- Symmetry: F-43m (216)
- Density: 10.21 Mg/m³
- Total magnetic moment: 0.0 μB/f.u.


9.
Entry from Alexandria: crystalline AcYCuHg at its relaxed geometry (GGA-PBE).

Lattice parameters (Å, degrees): 5.372 5.372 5.372 60.00 60.00 60.00
Element x y z (fractional)
1 Ac 0.000 0.000 0.000
2 Y 0.500 0.500 0.500
3 Cu 0.250 0.250 0.250
4 Hg 0.750 0.750 0.750

- V: 110 Å³/cell
- Energy relative to the elements: -250 meV per atom
- Symmetry: F-43m (216)
- Density: 8.79 Mg/m³
- Total magnetic moment: 0.0 μB/f.u.


10.
Entry from Alexandria: crystalline AcZnCuHg at its relaxed geometry (GGA-PBE).

Lattice parameters (Å, degrees): 5.068 5.068 5.068 60.00 60.00 60.00
Element x y z (fractional)
1 Ac 0.000 0.000 0.000
2 Zn 0.250 0.250 0.250
3 Cu 0.750 0.750 0.750
4 Hg 0.500 0.500 0.500

- V: 92 Å³/cell
- Energy relative to the elements: -146 meV per atom
- Symmetry: F-43m (216)
- Density: 10.04 Mg/m³
- Total magnetic moment: 0.0 μB/f.u.


11.
Entry from Alexandria: crystalline AcHoCu4 at its relaxed geometry (GGA-PBE).

Lattice parameters (Å, degrees): 5.808 5.808 5.808 137.82 97.65 97.23
Element x y z (fractional)
1 Ac 0.000 0.000 0.000
2 Ho 0.500 0.000 0.500
3 Cu 0.105 0.337 0.768
4 Cu 0.430 0.663 0.768
5 Cu 0.570 0.337 0.232
6 Cu 0.895 0.663 0.232

- V: 123 Å³/cell
- Energy relative to the elements: -201 meV per atom
- Distance to the lowest polymorph of the same formula: 0 meV per atom
- Symmetry: Immm (71)
- Density: 8.74 Mg/m³
- Total magnetic moment: 0.0 μB/f.u.


12.
Entry from Alexandria: crystalline AcHo2Cu at its relaxed geometry (GGA-PBE).

Lattice parameters (Å, degrees): 10.068 10.068 10.068 21.79 21.79 21.79
Element x y z (fractional)
1 Ac 0.000 0.000 0.000
2 Ho 0.228 0.228 0.228
3 Ho 0.772 0.772 0.772
4 Cu 0.500 0.500 0.500

- V: 123 Å³/cell
- Energy relative to the elements: 44 meV per atom
- Distance to the lowest polymorph of the same formula: 105 meV per atom
- Symmetry: R-3m (166)
- Density: 8.36 Mg/m³
- Total magnetic moment: 0.0 μB/f.u.


> Which value of V does entry 7 give?

112 Å³/cell


> Number 11 is which compound?

AcHoCu4


> Which formula does entry 2 have?

Ac2CuHgRh


> Which value of V does entry 7 give?

112 Å³/cell